Computed, not measured: HPtI2 after structural relaxation at the GGA-PBEsol level of DFT.

Results
Total moment (μB per formula unit): 1.55
Calculated volume (Å³ per atom): 19.9
Density of states at the Fermi level (states/eV/atom): 1.86
Calculated total energy (eV per atom): -2.4663
E above lowest polymorph (meV per atom): 557
SG: Fm-3m

Cell: 4.831 4.831 4.831 Å, 60.00 60.00 60.00°
Element x y z (fractional)
Pt (0.500, 0.500, 0.500)
I (0.250, 0.250, 0.250)
I (0.750, 0.750, 0.750)
H (0.000, 0.000, 0.000)

***

Computed, not measured: LaSc2Mn after structural relaxation at the GGA-PBEsol level of DFT.

Results
Total moment (μB per formula unit): 1.66
Calculated volume (Å³ per atom): 22.5
Density of states at the Fermi level (states/eV/atom): 1.47
Formation enthalpy at 0 K (meV per atom): 211
Calculated total energy (eV per atom): -6.8682
E above lowest polymorph (meV per atom): 103
SG: Immm

Cell: 3.321 5.012 6.197 Å, 113.85 105.54 90.00°
Element x y z (fractional)
Sc (0.293, 0.293, 0.585)
Sc (0.707, 0.707, 0.415)
La (0.500, 0.000, 0.000)
Mn (0.000, 0.500, 0.000)

***

Computed, not measured: MnCu after structural relaxation at the GGA-PBEsol level of DFT.

Results
Total moment (μB per formula unit): 0.00
Calculated volume (Å³ per atom): 10.8
Density of states at the Fermi level (states/eV/atom): 1.13
Formation enthalpy at 0 K (meV per atom): 280
Calculated total energy (eV per atom): -6.7680
SG: Pmmn

Cell: 2.409 3.970 4.521 Å, 90.00 90.00 90.00°
Element x y z (fractional)
Cu (0.500, 0.500, 0.417)
Cu (0.000, 0.000, 0.583)
Mn (0.000, 0.500, 0.922)
Mn (0.500, 0.000, 0.078)

***

Computed, not measured: HgRhPb2 after structural relaxation at the GGA-PBEsol level of DFT.

Results
Total moment (μB per formula unit): 0.00
Calculated volume (Å³ per atom): 22.5
Density of states at the Fermi level (states/eV/atom): 0.63
Formation enthalpy at 0 K (meV per atom): 76
Calculated total energy (eV per atom): -4.0994
SG: P4mm

Cell: 3.244 3.244 8.536 Å, 90.00 90.00 90.00°
Element x y z (fractional)
Rh (0.000, 0.000, 0.506)
Pb (0.000, 0.000, 0.980)
Pb (0.500, 0.500, 0.311)
Hg (0.500, 0.500, 0.703)

***

Computed, not measured: Li2CaTe after structural relaxation at the GGA-PBEsol level of DFT.

Results
Total moment (μB per formula unit): 0.00
Calculated volume (Å³ per atom): 24.1
Density of states at the Fermi level (states/eV/atom): 0.11
Calculated total energy (eV per atom): -3.0816
Energy relative to the elements, uncorrected (eV/atom): -0.683
SG: R3m

Cell: 4.371 4.371 6.360 Å, 69.90 69.90 60.00°
Element x y z (fractional)
Te (0.538, 0.538, 0.385)
Li (0.954, 0.954, 0.138)
Li (0.258, 0.258, 0.226)
Ca (0.748, 0.748, 0.755)

***

Computed, not measured: LiIO3 after structural relaxation at the GGA-PBEsol level of DFT.

Results
Total moment (μB per formula unit): 0.00
Calculated volume (Å³ per atom): 12.7
Density of states at the Fermi level (states/eV/atom): 0.00
Calculated total energy (eV per atom): -4.8815
Energy relative to the elements, uncorrected (eV/atom): -0.985
SG: P6_3

Cell: 5.056 5.387 5.387 Å, 120.00 90.00 90.00°
Element x y z (fractional)
O (0.165, 0.926, 0.660)
O (0.665, 0.265, 0.926)
O (0.665, 0.074, 0.340)
O (0.665, 0.660, 0.735)
O (0.165, 0.735, 0.074)
O (0.165, 0.340, 0.265)
I (0.991, 0.667, 0.333)
I (0.491, 0.333, 0.667)
Li (0.423, 0.000, 0.000)
Li (0.923, 0.000, 0.000)